[1]
Entry from Alexandria: a geometry-optimized SrLi6Mg2 structure (PBE).

Summary:
Energy of formation: 0.0572 eV/atom
Excess energy over the best structure of this formula in the dataset: 0.0000 eV/atom
Symmetry: Immm, No. 71
Electronic total energy: -1.76 eV/atom
Density: 1.29 g cm⁻³
DOS(E_F): 0.532 states/eV per atom
Total moment: 0.000 μB/atom

Cell and atoms, written as extended XYZ:
```
9
Lattice="-0.547 -5.145 0.302 -0.307 -2.131 7.614 -6.181 -1.680 4.646" Properties=species:S:1:pos:R:3 pbc="T T T"
Li -2.435 -4.562 6.828
Li -3.355 -4.313 9.396
Li -0.946 -4.854 4.547
Li -3.680 -4.644 3.166
Li -6.088 -4.103 8.015
Li -4.600 -4.395 5.734
Mg -4.463 -6.900 7.786
Mg -2.571 -2.057 4.777
Sr 0.000 0.000 0.000
```

***

[2]
Entry from Alexandria: a geometry-optimized BeCuAs2 structure (PBE).

Summary:
Energy of formation: 0.1100 eV/atom
Symmetry: I-42d, No. 122
Electronic total energy: -4.17 eV/atom
Density: 5.43 g cm⁻³
DOS(E_F): 0.340 states/eV per atom
Total moment: 0.000 μB/atom

Cell and atoms, written as extended XYZ:
```
8
Lattice="-4.168 1.439 -0.538 0.217 -0.986 -4.326 -4.336 -6.114 -1.105" Properties=species:S:1:pos:R:3 pbc="T T T"
As -3.581 -0.780 -1.142
As -6.713 -4.170 -5.000
As -4.729 -4.435 -2.737
As -1.550 -1.937 -3.057
Cu -5.240 -2.224 -2.037
Cu 0.000 0.000 0.000
Be -1.975 0.227 -2.432
Be -3.047 -3.437 -3.931
```

***

[3]
Entry from Alexandria: a geometry-optimized CdSbN2O structure (PBE).

Summary:
Symmetry: P4/mmm, No. 123
Electronic total energy: -4.74 eV/atom
Density: 6.97 g cm⁻³
DOS(E_F): 0.713 states/eV per atom
ΔE_f (raw): 0.588 eV/atom
Total moment: 0.107 μB/atom

Cell and atoms, written as extended XYZ:
```
5
Lattice="4.072 0.000 0.000 0.000 4.072 0.000 0.000 0.000 4.000" Properties=species:S:1:pos:R:3 pbc="T T T"
Cd 2.036 2.036 2.000
Sb 0.000 0.000 0.000
N 0.000 2.036 0.000
N 2.036 0.000 0.000
O 0.000 0.000 2.000
```

***

[4]
Entry from Alexandria: a geometry-optimized NaTlReI6 structure (PBE).

Summary:
Symmetry: P-31c, No. 163
Electronic total energy: -3.19 eV/atom
Density: 5.08 g cm⁻³
ΔE_f (raw): -0.359 eV/atom
Total moment: 0.332 μB/atom

Cell and atoms, written as extended XYZ:
```
18
Lattice="-3.903 1.142 -6.779 5.867 -5.287 0.341 -9.300 -10.084 3.656" Properties=species:S:1:pos:R:3 pbc="T T T"
I -4.792 -13.064 -0.640
I -2.963 -2.128 -5.861
I -1.672 -11.079 0.296
I -2.866 -5.054 -1.211
I -4.373 -12.102 3.079
I -4.470 -9.176 -1.571
I -3.541 -5.786 -4.945
I -2.544 -1.166 -2.142
I -3.795 -8.444 2.163
I -5.664 -3.151 -3.078
I -0.251 -3.850 -3.714
I -7.085 -10.379 0.932
Na -7.621 -8.564 -1.664
Na 0.285 -5.665 -1.118
Re -2.971 -3.522 -3.492
Re -4.364 -10.707 0.710
Tl -4.650 -5.042 1.828
Tl 0.000 0.000 0.000
```